DFT (PBE with a Hubbard U) results for CrBrF3 after structural relaxation.

Properties
- V: 13.87 Å³ per atom
- E above lowest polymorph: 0.0 meV/atom
- Total magnetic moment: 2.000 μB/f.u.
- N(E_F): 1.16 states/eV/atom
- Symmetry: No. 221

```
CrBrF3
1.0
4.109 0.000 0.000
0.000 4.109 0.000
0.000 0.000 4.109
Cr Br F
1 1 3
Cartesian
0.000 0.000 0.000
2.054 2.054 2.054
0.000 0.000 2.054
0.000 2.054 0.000
2.054 0.000 0.000
```